[1]
FeCuH3 | PBE | relaxed

Calculated values
DOS at the Fermi energy	3.093	states/eV per cell
energy relative to the lowest polymorph listed for this composition	88.0	meV/atom
theoretical density	6.2	g cm⁻³
space-group type	Pm-3m

a = 3.2091 Å, b = 3.2091 Å, c = 3.2091 Å
α = 90.00°, β = 90.00°, γ = 90.00°
Closest atoms and distances in Å follow each position.
Sites, in units of the cell vectors:
Fe: 0.0000 0.0000 0.0000  6 H 1.60
Cu: 0.5000 0.5000 0.5000  12 H 2.27
H: 0.0000 0.0000 0.5000  2 Fe 1.60
H: 0.0000 0.5000 0.0000  2 Fe 1.60
H: 0.5000 0.0000 0.0000  2 Fe 1.60

=====

[2]
FeCuH2 | PBE | relaxed

Calculated values
DOS at the Fermi energy	2.149	states/eV per cell
energy relative to the lowest polymorph listed for this composition	32.0	meV/atom
theoretical density	7.0	g cm⁻³
space-group type	R3m

a = 5.0443 Å, b = 5.0443 Å, c = 5.0443 Å
α = 30.33°, β = 30.33°, γ = 30.33°
Closest atoms and distances in Å follow each position.
Sites, in units of the cell vectors:
Fe: 0.0000 0.0000 0.0000  6 H 1.76-1.77
Cu: 0.8232 0.8232 0.8232  6 H 2.05-2.24
H: 0.3948 0.3948 0.3948  3 Fe 1.76
H: 0.6038 0.6038 0.6038  3 Fe 1.77

=====

[3]
FeCuH2 | PBE | relaxed

Calculated values
DOS at the Fermi energy	4.293	states/eV per cell
energy relative to the lowest polymorph listed for this composition	423.1	meV/atom
theoretical density	6.7	g cm⁻³
space-group type	Fm-3m

a = 3.4863 Å, b = 3.4863 Å, c = 3.4863 Å
α = 60.00°, β = 60.00°, γ = 60.00°
Closest atoms and distances in Å follow each position.
Sites, in units of the cell vectors:
Fe: 0.0000 0.0000 0.0000  8 H 2.13
Cu: 0.5000 0.5000 0.5000  8 H 2.13
H: 0.2500 0.2500 0.2500  4 Fe 2.13, 4 Cu 2.13
H: 0.7500 0.7500 0.7500  4 Cu 2.13, 4 Fe 2.13